No. 1
DFT (PBE) results for Na6Hg3Bi after structural relaxation.

Cell and atoms, written as POSCAR:
```
Na6Hg3Bi
1.0
8.630 0.446 -0.667
-0.754 8.608 -0.667
0.388 0.446 8.647
Hg Bi Na
6 2 12
direct
0.750 0.348 0.151 Hg
0.250 0.652 0.849 Hg
0.652 0.849 0.250 Hg
0.151 0.750 0.348 Hg
0.348 0.151 0.750 Hg
0.849 0.250 0.652 Hg
0.500 0.500 0.500 Bi
0.000 0.000 0.000 Bi
0.954 0.090 0.337 Na
0.837 0.590 0.453 Na
0.163 0.410 0.547 Na
0.410 0.547 0.163 Na
0.910 0.663 0.046 Na
0.046 0.910 0.663 Na
0.663 0.046 0.910 Na
0.590 0.453 0.837 Na
0.337 0.954 0.090 Na
0.453 0.837 0.590 Na
0.090 0.337 0.954 Na
0.547 0.163 0.410 Na
```

Values from the calculation:
The calculation puts the size of the total moment at 0.00 μB per cell. The calculation puts the density of states at the Fermi level at 11.1 states/eV per cell. As for the energy above the most stable polymorph in this dataset: 118 meV/atom. The value obtained for the total energy is -28.15 eV/cell. Its energy relative to the elements is -137 meV per atom.

---

No. 2
DFT (PBE) results for Na5Hg5Bi2 after structural relaxation.

Cell and atoms, written as POSCAR:
```
Na5Hg5Bi2
1.0
-4.694 0.257 1.203
-3.493 -5.514 -2.667
-0.761 -6.500 8.204
Na Bi Hg
5 2 5
direct
0.397 0.949 0.257 Na
0.656 0.675 0.013 Na
0.500 0.500 0.500 Na
0.344 0.325 0.987 Na
0.603 0.051 0.743 Na
0.090 0.564 0.257 Bi
0.910 0.436 0.743 Bi
0.831 0.866 0.473 Hg
0.000 0.000 0.000 Hg
0.245 0.735 0.775 Hg
0.169 0.134 0.527 Hg
0.755 0.265 0.225 Hg
```

Values from the calculation:
The calculation puts the size of the total moment at 0.00 μB per cell. The calculation puts the density of states at the Fermi level at 4.0 states/eV per cell. The value obtained for the total energy is -18.59 eV/cell. Its energy relative to the elements is -227 meV per atom.

---

No. 3
DFT (PBE) results for Na6Hg10Bi after structural relaxation.

Cell and atoms, written as POSCAR:
```
Na6Hg10Bi
1.0
6.274 0.000 0.000
0.000 7.951 -4.590
0.000 0.000 9.181
Hg Na Bi
10 6 1
direct
0.795 0.000 0.291 Hg
0.205 0.000 0.709 Hg
0.795 0.291 0.000 Hg
0.500 0.667 0.333 Hg
0.205 0.291 0.291 Hg
0.000 0.333 0.667 Hg
0.205 0.709 0.000 Hg
0.795 0.709 0.709 Hg
0.500 0.333 0.667 Hg
0.000 0.667 0.333 Hg
0.721 0.368 0.368 Na
0.279 0.000 0.368 Na
0.721 0.000 0.632 Na
0.279 0.632 0.632 Na
0.721 0.632 0.000 Na
0.279 0.368 0.000 Na
0.500 0.000 0.000 Bi
```

Values from the calculation:
The calculation puts the size of the total moment at 0.00 μB per cell. The calculation puts the density of states at the Fermi level at 5.4 states/eV per cell. The value obtained for the total energy is -18.07 eV/cell. Its energy relative to the elements is -192 meV per atom.

---

No. 4
DFT (PBE) results for NaHg2Bi after structural relaxation.

Cell and atoms, written as POSCAR:
```
NaHg2Bi
1.0
6.060 -1.997 -3.349
-1.981 6.065 3.349
-4.375 0.308 5.717
Hg Bi Na
2 1 1
direct
0.000 0.256 0.256 Hg
0.000 0.744 0.744 Hg
0.000 0.500 0.500 Bi
0.000 0.000 0.000 Na
```

Values from the calculation:
The calculation puts the size of the total moment at 0.00 μB per cell. The calculation puts the density of states at the Fermi level at 1.6 states/eV per cell. The value obtained for the total energy is -6.10 eV/cell. Its energy relative to the elements is -74 meV per atom.

---

No. 5
DFT (PBE) results for Na2Hg5Bi after structural relaxation.

Cell and atoms, written as POSCAR:
```
Na2Hg5Bi
1.0
6.739 0.000 0.000
0.000 6.763 -0.109
-3.369 -3.433 4.664
Hg Na Bi
5 2 1
direct
0.223 0.223 0.945 Hg
0.722 0.223 0.945 Hg
0.722 0.721 0.943 Hg
0.723 0.723 0.446 Hg
0.222 0.721 0.943 Hg
0.722 0.221 0.444 Na
0.222 0.722 0.444 Na
0.222 0.222 0.443 Bi
```

Values from the calculation:
The calculation puts the size of the total moment at 0.00 μB per cell. The calculation puts the density of states at the Fermi level at 3.8 states/eV per cell. The value obtained for the total energy is -9.18 eV/cell. Its energy relative to the elements is -144 meV per atom.

---

No. 6
DFT (PBE) results for Na5Hg2Bi4 after structural relaxation.

Cell and atoms, written as POSCAR:
```
Na5Hg2Bi4
1.0
-3.440 0.201 -0.759
-2.010 -4.165 8.008
3.947 15.295 -5.628
Na Bi Hg
5 4 2
direct
0.155 0.863 0.310 Na
0.874 0.816 0.748 Na
0.845 0.137 0.690 Na
0.126 0.184 0.252 Na
0.500 0.000 0.000 Na
0.367 0.486 0.735 Bi
0.633 0.514 0.265 Bi
0.992 0.645 0.984 Bi
0.008 0.355 0.016 Bi
0.747 0.630 0.493 Hg
0.253 0.370 0.507 Hg
```

Values from the calculation:
The calculation puts the size of the total moment at 0.00 μB per cell. The calculation puts the density of states at the Fermi level at 3.2 states/eV per cell. The value obtained for the total energy is -24.25 eV/cell. Its energy relative to the elements is -139 meV per atom.

---

No. 7
DFT (PBE) results for NaHg2Bi3 after structural relaxation.

Cell and atoms, written as POSCAR:
```
NaHg2Bi3
1.0
-5.440 -3.357 -1.565
4.719 -1.556 -4.316
2.594 -6.677 5.210
Bi Hg Na
6 4 2
direct
0.379 0.169 0.935 Bi
0.831 0.621 0.565 Bi
0.169 0.379 0.435 Bi
0.411 0.589 0.750 Bi
0.589 0.411 0.250 Bi
0.621 0.831 0.065 Bi
0.011 0.310 0.094 Hg
0.310 0.011 0.594 Hg
0.989 0.690 0.906 Hg
0.690 0.989 0.406 Hg
0.140 0.860 0.250 Na
0.860 0.140 0.750 Na
```

Values from the calculation:
The calculation puts the size of the total moment at 0.00 μB per cell. The calculation puts the density of states at the Fermi level at 5.3 states/eV per cell. The value obtained for the total energy is -27.74 eV/cell. Its energy relative to the elements is -51 meV per atom.

---

No. 8
DFT (PBE) results for Na4Hg6Bi after structural relaxation.

Cell and atoms, written as POSCAR:
```
Na4Hg6Bi
1.0
6.387 0.000 0.000
-3.194 7.806 3.194
0.000 0.000 6.387
Na Hg Bi
4 6 1
direct
0.622 0.658 0.378 Na
0.036 0.658 0.964 Na
0.964 0.342 0.622 Na
0.378 0.342 0.036 Na
0.000 0.000 0.500 Hg
0.551 0.739 0.812 Hg
0.500 0.000 0.000 Hg
0.188 0.739 0.449 Hg
0.812 0.261 0.188 Hg
0.449 0.261 0.551 Hg
0.000 0.000 0.000 Bi
```

Values from the calculation:
The calculation puts the size of the total moment at 0.00 μB per cell. The calculation puts the density of states at the Fermi level at 5.2 states/eV per cell. The value obtained for the total energy is -12.77 eV/cell. Its energy relative to the elements is -164 meV per atom.

---

No. 9
DFT (PBE) results for NaHg3Bi2 after structural relaxation.

Cell and atoms, written as POSCAR:
```
NaHg3Bi2
1.0
8.515 0.780 2.775
-1.378 4.518 1.105
0.857 -0.780 8.915
Hg Bi Na
6 4 2
direct
0.247 0.326 0.877 Hg
0.753 0.674 0.123 Hg
0.123 0.826 0.753 Hg
0.877 0.174 0.247 Hg
0.563 0.250 0.563 Hg
0.437 0.750 0.437 Hg
0.547 0.787 0.871 Bi
0.129 0.287 0.453 Bi
0.453 0.213 0.129 Bi
0.871 0.713 0.547 Bi
0.129 0.750 0.129 Na
0.871 0.250 0.871 Na
```

Values from the calculation:
The calculation puts the size of the total moment at 0.00 μB per cell. The calculation puts the density of states at the Fermi level at 3.7 states/eV per cell. The value obtained for the total energy is -20.86 eV/cell. Its energy relative to the elements is -74 meV per atom.

---

No. 10
DFT (PBE) results for Na2Hg5Bi2 after structural relaxation.

Cell and atoms, written as POSCAR:
```
Na2Hg5Bi2
1.0
6.089 -1.448 -0.625
-2.917 6.552 -2.953
1.405 -2.061 8.098
Hg Bi Na
5 2 2
direct
0.225 0.584 0.404 Hg
0.000 0.000 0.000 Hg
0.350 0.175 0.766 Hg
0.775 0.416 0.596 Hg
0.650 0.825 0.234 Hg
0.147 0.815 0.203 Bi
0.853 0.185 0.797 Bi
0.624 0.385 0.237 Na
0.376 0.615 0.763 Na
```

Values from the calculation:
The calculation puts the size of the total moment at 0.00 μB per cell. The calculation puts the density of states at the Fermi level at 3.2 states/eV per cell. The value obtained for the total energy is -12.86 eV/cell. Its energy relative to the elements is -105 meV per atom.

---

No. 11
DFT (PBE) results for Na6Hg3Bi after structural relaxation.

Cell and atoms, written as POSCAR:
```
Na6Hg3Bi
1.0
5.405 0.000 0.000
0.000 11.831 -2.780
0.000 -6.613 10.242
Bi Na Hg
2 12 6
direct
0.750 0.068 0.709 Bi
0.250 0.932 0.291 Bi
0.250 0.837 0.503 Na
0.750 0.854 0.093 Na
0.250 0.146 0.907 Na
0.750 0.385 0.106 Na
0.250 0.044 0.120 Na
0.250 0.615 0.894 Na
0.250 0.456 0.350 Na
0.750 0.544 0.650 Na
0.750 0.956 0.880 Na
0.250 0.223 0.698 Na
0.750 0.777 0.302 Na
0.750 0.163 0.497 Na
0.750 0.244 0.275 Hg
0.250 0.326 0.507 Hg
0.750 0.674 0.493 Hg
0.250 0.533 0.098 Hg
0.250 0.756 0.725 Hg
0.750 0.467 0.902 Hg
```

Values from the calculation:
The calculation puts the size of the total moment at 0.00 μB per cell. The calculation puts the density of states at the Fermi level at 5.7 states/eV per cell. As for the energy above the most stable polymorph in this dataset: 0 meV/atom. The value obtained for the total energy is -30.51 eV/cell. Its energy relative to the elements is -255 meV per atom.

---

No. 12
DFT (PBE) results for Na4Hg7Bi after structural relaxation.

Cell and atoms, written as POSCAR:
```
Na4Hg7Bi
1.0
-2.034 5.182 3.455
-4.114 3.346 -7.429
-5.683 0.095 2.855
Hg Na Bi
7 4 1
direct
0.285 0.476 0.460 Hg
0.133 0.152 0.468 Hg
0.725 0.315 0.937 Hg
0.500 0.000 0.000 Hg
0.867 0.848 0.532 Hg
0.715 0.524 0.540 Hg
0.275 0.685 0.063 Hg
0.183 0.351 0.021 Na
0.389 0.819 0.510 Na
0.611 0.181 0.490 Na
0.817 0.649 0.979 Na
0.000 0.000 0.000 Bi
```

Values from the calculation:
The calculation puts the size of the total moment at 0.00 μB per cell. The calculation puts the density of states at the Fermi level at 3.7 states/eV per cell. The value obtained for the total energy is -13.60 eV/cell. Its energy relative to the elements is -194 meV per atom.